# 1
First-principles (PBE-GGA) data for Tl3GeSb after structural relaxation, as listed in Alexandria via LeMat-Bulk.

raw formation energy = 0.695 eV/atom
energy above the most stable polymorph in this dataset = 321 meV/atom
VASP energy = -2.473 eV per atom
crystal system = cubic

Cell: 5.8191 5.8191 5.8191 Å, 90.00 90.00 90.00°
Each line ends with the local moment (μB).
Sites, in units of the cell vectors:
Tl1 0.0000 0.5000 0.0000  0.00
Sb1 0.0000 0.0000 0.0000  0.02
Tl2 0.5000 0.0000 0.0000  0.01
Ge1 0.5000 0.5000 0.5000  0.38
Tl3 0.0000 0.0000 0.5000  0.01

***

# 2
First-principles (PBE-GGA) data for TlZn2GeSb after structural relaxation, as listed in Alexandria via LeMat-Bulk.

raw formation energy = 0.323 eV/atom
VASP energy = -2.408 eV per atom
crystal system = tetragonal

Cell: 4.8881 5.6520 4.8881 Å, 90.00 90.00 90.00°
Sites, in units of the cell vectors:
Ge1 0.0000 0.0000 0.0000
Sb1 0.0000 0.5000 0.0000
Zn1 0.5000 0.0000 0.0000
Zn2 0.0000 0.0000 0.5000
Tl1 0.5000 0.5000 0.5000

***

# 3
First-principles (PBE-GGA) data for Tm6GeSb3 after structural relaxation, as listed in Alexandria via LeMat-Bulk.

raw formation energy = -0.652 eV/atom
VASP energy = -5.033 eV per atom
crystal system = orthorhombic

Cell: 7.4143 9.0906 9.0906 Å, 105.88 90.00 90.00°
Sites, in units of the cell vectors:
Tm1 0.7601 0.0003 0.9997
Tm2 0.2160 0.0918 0.5670
Tm3 0.6642 0.2470 0.7530
Sb1 0.9894 0.7115 0.9197
Tm4 0.2160 0.4330 0.9082
Tm5 0.7160 0.9082 0.4330
Tm6 0.1519 0.7243 0.6223
Tm7 0.1642 0.7530 0.2470
Tm8 0.7160 0.5670 0.0918
Sb2 0.4894 0.9197 0.7115
Ge1 0.0033 0.1551 0.8449
Tm9 0.6519 0.2757 0.3777
Tm10 0.6519 0.6223 0.7243
Tm11 0.2601 0.9997 0.0003
Sb3 0.3430 0.4140 0.5860
Ge2 0.5033 0.8449 0.1551
Tm12 0.1519 0.3777 0.2757
Sb4 0.4894 0.2885 0.0803
Sb5 0.9894 0.0803 0.2885
Sb6 0.8430 0.5860 0.4140

***

# 4
First-principles (PBE-GGA) data for TmGeSb after structural relaxation, as listed in Alexandria via LeMat-Bulk.

raw formation energy = -0.284 eV/atom
VASP energy = -4.687 eV per atom
crystal system = trigonal

Cell: 3.7116 4.8109 4.8109 Å, 120.00 90.00 90.00°
Sites, in units of the cell vectors:
Ge1 0.8343 0.0000 0.0000
Sb1 0.8328 0.6667 0.3333
Tm1 0.3329 0.3333 0.6667

***

Number 1: calculated volume 197 Å³/cell, DOS at the Fermi energy 0.684 states/eV per atom. Number 2: calculated volume 135 Å³/cell, DOS at the Fermi energy 0.476 states/eV per atom. Number 3: calculated volume 589 Å³/cell, DOS at the Fermi energy 0.932 states/eV per atom. Number 4: calculated volume 74 Å³/cell, DOS at the Fermi energy 0.589 states/eV per atom.